DFT (PBE with a Hubbard U) results for crystalline In2NiIO8 at its relaxed geometry.

```
data_In2NiIO8
_symmetry_space_group_name_H-M 'P 1'
_symmetry_Int_Tables_number 1
_cell_length_a 4.817
_cell_length_b 6.443
_cell_length_c 4.825
_cell_angle_alpha 90.00
_cell_angle_beta 92.83
_cell_angle_gamma 90.00
loop_
_symmetry_equiv_pos_as_xyz
'x,y,z'
loop_
_atom_site_label
_atom_site_type_symbol
_atom_site_fract_x
_atom_site_fract_y
_atom_site_fract_z
_atom_site_occupancy
In1 In 0.000 0.246 0.000 1
In2 In 0.000 0.754 0.000 1
Ni1 Ni 0.500 0.000 0.500 1
I1 I 0.500 0.500 0.500 1
O1 O 0.211 0.000 0.210 1
O2 O 0.213 0.500 0.210 1
O3 O 0.319 0.276 0.679 1
O4 O 0.319 0.724 0.679 1
O5 O 0.681 0.276 0.321 1
O6 O 0.681 0.724 0.321 1
O7 O 0.787 0.500 0.790 1
O8 O 0.789 0.000 0.790 1
```

ρ   6.031 Mg/m³
D(E_F)   0.36 states/eV per atom
Calculated volume   12.5 Å³ per atom
VASP energy   -4.93 eV per atom

=====

DFT (PBE with a Hubbard U) results for crystalline InNiI2O at its relaxed geometry.

```
data_InNiI2O
_symmetry_space_group_name_H-M 'P 1'
_symmetry_Int_Tables_number 1
_cell_length_a 6.101
_cell_length_b 6.101
_cell_length_c 3.942
_cell_angle_alpha 90.00
_cell_angle_beta 90.00
_cell_angle_gamma 90.00
loop_
_symmetry_equiv_pos_as_xyz
'x,y,z'
loop_
_atom_site_label
_atom_site_type_symbol
_atom_site_fract_x
_atom_site_fract_y
_atom_site_fract_z
_atom_site_occupancy
In1 In 0.000 0.000 0.000 1
Ni1 Ni 0.500 0.500 0.500 1
I1 I 0.000 0.500 0.000 1
I2 I 0.500 0.000 0.000 1
O1 O 0.000 0.000 0.500 1
```

ρ   5.017 Mg/m³
D(E_F)   0.18 states/eV per atom
Calculated volume   29.3 Å³ per atom
VASP energy   -2.68 eV per atom

=====

DFT (PBE with a Hubbard U) results for crystalline InNiIO2 at its relaxed geometry.

```
data_InNiIO2
_symmetry_space_group_name_H-M 'P 1'
_symmetry_Int_Tables_number 1
_cell_length_a 4.262
_cell_length_b 4.262
_cell_length_c 5.407
_cell_angle_alpha 90.00
_cell_angle_beta 90.00
_cell_angle_gamma 90.00
loop_
_symmetry_equiv_pos_as_xyz
'x,y,z'
loop_
_atom_site_label
_atom_site_type_symbol
_atom_site_fract_x
_atom_site_fract_y
_atom_site_fract_z
_atom_site_occupancy
In1 In 0.000 0.000 0.000 1
Ni1 Ni 0.500 0.500 0.500 1
I1 I 0.500 0.500 0.000 1
O1 O 0.000 0.500 0.500 1
O2 O 0.500 0.000 0.500 1
```

ρ   5.620 Mg/m³
D(E_F)   0.58 states/eV per atom
Calculated volume   19.6 Å³ per atom
VASP energy   -3.26 eV per atom

=====

DFT (PBE with a Hubbard U) results for crystalline InNiIO2 at its relaxed geometry.

```
data_InNiIO2
_symmetry_space_group_name_H-M 'P 1'
_symmetry_Int_Tables_number 1
_cell_length_a 4.071
_cell_length_b 4.071
_cell_length_c 6.365
_cell_angle_alpha 90.00
_cell_angle_beta 90.00
_cell_angle_gamma 90.00
loop_
_symmetry_equiv_pos_as_xyz
'x,y,z'
loop_
_atom_site_label
_atom_site_type_symbol
_atom_site_fract_x
_atom_site_fract_y
_atom_site_fract_z
_atom_site_occupancy
In1 In 0.000 0.000 0.000 1
Ni1 Ni 0.500 0.500 0.500 1
I1 I 0.000 0.000 0.500 1
O1 O 0.000 0.500 0.000 1
O2 O 0.500 0.000 0.000 1
```

ρ   5.234 Mg/m³
D(E_F)   0.48 states/eV per atom
Calculated volume   21.1 Å³ per atom
VASP energy   -3.46 eV per atom

=====

DFT (PBE with a Hubbard U) results for crystalline InNiI2O at its relaxed geometry.

```
data_InNiI2O
_symmetry_space_group_name_H-M 'P 1'
_symmetry_Int_Tables_number 1
_cell_length_a 6.218
_cell_length_b 6.218
_cell_length_c 3.540
_cell_angle_alpha 90.00
_cell_angle_beta 90.00
_cell_angle_gamma 90.00
loop_
_symmetry_equiv_pos_as_xyz
'x,y,z'
loop_
_atom_site_label
_atom_site_type_symbol
_atom_site_fract_x
_atom_site_fract_y
_atom_site_fract_z
_atom_site_occupancy
In1 In 0.000 0.000 0.000 1
Ni1 Ni 0.500 0.500 0.500 1
I1 I 0.000 0.500 0.500 1
I2 I 0.500 0.000 0.500 1
O1 O 0.500 0.500 0.000 1
```

ρ   5.378 Mg/m³
D(E_F)   0.48 states/eV per atom
Calculated volume   27.4 Å³ per atom
VASP energy   -2.81 eV per atom

=====

DFT (PBE with a Hubbard U) results for crystalline InNiIO6 at its relaxed geometry.

```
data_InNiIO6
_symmetry_space_group_name_H-M 'P 1'
_symmetry_Int_Tables_number 1
_cell_length_a 4.782
_cell_length_b 4.782
_cell_length_c 9.426
_cell_angle_alpha 90.00
_cell_angle_beta 90.00
_cell_angle_gamma 90.00
loop_
_symmetry_equiv_pos_as_xyz
'x,y,z'
loop_
_atom_site_label
_atom_site_type_symbol
_atom_site_fract_x
_atom_site_fract_y
_atom_site_fract_z
_atom_site_occupancy
In1 In 0.000 0.000 0.000 1
In2 In 0.500 0.500 0.500 1
Ni1 Ni 0.000 0.000 0.330 1
Ni2 Ni 0.500 0.500 0.830 1
I1 I 0.000 0.000 0.664 1
I2 I 0.500 0.500 0.164 1
O1 O 0.182 0.182 0.508 1
O2 O 0.191 0.191 0.813 1
O3 O 0.217 0.217 0.168 1
O4 O 0.283 0.717 0.668 1
O5 O 0.309 0.691 0.313 1
O6 O 0.318 0.682 0.008 1
O7 O 0.682 0.318 0.008 1
O8 O 0.691 0.309 0.313 1
O9 O 0.717 0.283 0.668 1
O10 O 0.783 0.783 0.168 1
O11 O 0.809 0.809 0.813 1
O12 O 0.818 0.818 0.508 1
```

ρ   6.109 Mg/m³
Calculated volume   12.0 Å³ per atom
VASP energy   -4.88 eV per atom